(1)
Density functional theory data (PBE) for crystalline TbNbO4 at its relaxed geometry.

Properties
Final energy ... -8.86 eV per atom

Structure (CIF):
```
data_TbNbO4
_cell_length_a 5.2661
_cell_length_b 5.2691
_cell_length_c 6.7172
_cell_angle_alpha 113.12
_cell_angle_beta 113.11
_cell_angle_gamma 89.94
_symmetry_space_group_name_H-M 'P 1'
_symmetry_Int_Tables_number 1
loop_
_symmetry_equiv_pos_as_xyz
'x,y,z'
loop_
_atom_site_label
_atom_site_fract_x
_atom_site_fract_y
_atom_site_fract_z
_atom_site_occupancy
Tb1 0.3750 0.1250 0.7501 1
O1 0.7119 0.8889 0.9284 1
O2 0.3895 0.7166 0.4286 1
O3 0.6105 0.2834 0.5713 1
O4 0.2165 0.5395 0.9284 1
O5 0.7835 0.4605 0.0715 1
O6 0.9609 0.7880 0.5713 1
O7 0.0391 0.2120 0.4287 1
Nb1 0.8748 0.6248 0.7495 1
Nb2 0.1252 0.3752 0.2505 1
O8 0.2881 0.1111 0.0715 1
Tb2 0.6250 0.8750 0.2499 1
```

(2)
Density functional theory data (PBE) for crystalline TbNbO4 at its relaxed geometry.

Properties
Final energy ... -8.82 eV per atom

Structure (CIF):
```
data_TbNbO4
_cell_length_a 5.3450
_cell_length_b 7.5765
_cell_length_c 7.7464
_cell_angle_alpha 82.12
_cell_angle_beta 90.00
_cell_angle_gamma 90.00
_symmetry_space_group_name_H-M 'P 1'
_symmetry_Int_Tables_number 1
loop_
_symmetry_equiv_pos_as_xyz
'x,y,z'
loop_
_atom_site_label
_atom_site_fract_x
_atom_site_fract_y
_atom_site_fract_z
_atom_site_occupancy
Tb1 0.2751 0.6432 0.6126 1
O1 0.9979 0.6722 0.3811 1
Nb1 0.2745 0.1622 0.6699 1
O2 0.9932 0.6093 0.8318 1
O3 0.6210 0.8319 0.5659 1
O4 0.9049 0.0671 0.3103 1
O5 0.0068 0.3907 0.1682 1
Nb2 0.2255 0.1622 0.1699 1
Nb3 0.7255 0.8378 0.3301 1
Tb2 0.7249 0.3568 0.3874 1
O6 0.4932 0.3907 0.6682 1
O7 0.5021 0.6722 0.8811 1
O8 0.0951 0.9329 0.6897 1
O9 0.5068 0.6093 0.3318 1
O10 0.3790 0.1681 0.4341 1
O11 0.4049 0.9329 0.1897 1
Tb3 0.7751 0.3568 0.8874 1
O12 0.0021 0.3278 0.6189 1
O13 0.5951 0.0671 0.8103 1
Nb4 0.7745 0.8378 0.8301 1
Tb4 0.2249 0.6432 0.1126 1
O14 0.1210 0.1681 0.9341 1
O15 0.8790 0.8319 0.0659 1
O16 0.4979 0.3278 0.1189 1
```

(3)
Density functional theory data (PBE) for crystalline Tb3NbO7 at its relaxed geometry.

Properties
Final energy ... -8.61 eV per atom

Structure (CIF):
```
data_Tb3NbO7
_cell_length_a 6.4887
_cell_length_b 6.4887
_cell_length_c 7.5606
_cell_angle_alpha 90.00
_cell_angle_beta 90.00
_cell_angle_gamma 110.61
_symmetry_space_group_name_H-M 'P 1'
_symmetry_Int_Tables_number 1
loop_
_symmetry_equiv_pos_as_xyz
'x,y,z'
loop_
_atom_site_label
_atom_site_fract_x
_atom_site_fract_y
_atom_site_fract_z
_atom_site_occupancy
Nb1 0.5000 0.5000 0.5000 1
O1 0.4360 0.1769 0.5363 1
Tb1 0.5173 0.0606 0.2500 1
O2 0.1538 0.8891 0.2500 1
O3 0.1769 0.4360 0.9637 1
O4 0.8891 0.1538 0.2500 1
O5 0.8231 0.5640 0.4637 1
O6 0.5814 0.5814 0.7500 1
O7 0.5640 0.8231 0.0363 1
Nb2 0.5000 0.5000 0.0000 1
O8 0.8462 0.1109 0.7500 1
Tb2 0.0000 0.0000 0.5000 1
O9 0.1769 0.4360 0.5363 1
Tb3 0.0606 0.5173 0.2500 1
O10 0.4360 0.1769 0.9637 1
O11 0.5640 0.8231 0.4637 1
Tb4 0.4827 0.9394 0.7500 1
O12 0.4186 0.4186 0.2500 1
Tb5 0.0000 0.0000 0.0000 1
O13 0.1109 0.8462 0.7500 1
Tb6 0.9394 0.4827 0.7500 1
O14 0.8231 0.5640 0.0363 1
```

(4)
Density functional theory data (PBE) for crystalline TbNbO4 at its relaxed geometry.

Properties
Final energy ... -8.76 eV per atom

Structure (CIF):
```
data_TbNbO4
_cell_length_a 5.0479
_cell_length_b 5.8756
_cell_length_c 5.9188
_cell_angle_alpha 110.64
_cell_angle_beta 90.00
_cell_angle_gamma 90.00
_symmetry_space_group_name_H-M 'P 1'
_symmetry_Int_Tables_number 1
loop_
_symmetry_equiv_pos_as_xyz
'x,y,z'
loop_
_atom_site_label
_atom_site_fract_x
_atom_site_fract_y
_atom_site_fract_z
_atom_site_occupancy
O1 0.6592 0.6186 0.3242 1
O2 0.1592 0.8814 0.6758 1
Nb1 0.0000 0.0000 0.0000 1
Tb1 0.5000 0.0000 0.5000 1
O3 0.7125 0.1832 0.8778 1
O4 0.7875 0.6832 0.8778 1
O5 0.3408 0.3814 0.6758 1
Nb2 0.5000 0.5000 0.0000 1
O6 0.8408 0.1186 0.3242 1
O7 0.2875 0.8168 0.1222 1
O8 0.2125 0.3168 0.1222 1
Tb2 0.0000 0.5000 0.5000 1
```

(5)
Density functional theory data (PBE) for crystalline Tb2NbO at its relaxed geometry.

Properties
Final energy ... -6.91 eV per atom

Structure (CIF):
```
data_Tb2NbO
_cell_length_a 3.2795
_cell_length_b 3.2795
_cell_length_c 9.0167
_cell_angle_alpha 79.52
_cell_angle_beta 79.52
_cell_angle_gamma 60.00
_symmetry_space_group_name_H-M 'P 1'
_symmetry_Int_Tables_number 1
loop_
_symmetry_equiv_pos_as_xyz
'x,y,z'
loop_
_atom_site_label
_atom_site_fract_x
_atom_site_fract_y
_atom_site_fract_z
_atom_site_occupancy
Tb1 0.8885 0.8885 0.3346 1
Tb2 0.1115 0.1115 0.6654 1
O1 0.5000 0.5000 0.5000 1
Nb1 0.0000 0.0000 0.0000 1
```

(6)
Density functional theory data (PBE) for crystalline Tb3NbO7 at its relaxed geometry.

Properties
Final energy ... -8.64 eV per atom

Structure (CIF):
```
data_Tb3NbO7
_cell_length_a 6.5413
_cell_length_b 6.5413
_cell_length_c 7.5136
_cell_angle_alpha 90.00
_cell_angle_beta 90.00
_cell_angle_gamma 108.50
_symmetry_space_group_name_H-M 'P 1'
_symmetry_Int_Tables_number 1
loop_
_symmetry_equiv_pos_as_xyz
'x,y,z'
loop_
_atom_site_label
_atom_site_fract_x
_atom_site_fract_y
_atom_site_fract_z
_atom_site_occupancy
O1 0.3712 0.6288 0.7500 1
O2 0.6691 0.9156 0.4784 1
O3 0.6962 0.9539 0.0487 1
O4 0.0844 0.3309 0.0216 1
O5 0.9156 0.6691 0.5216 1
O6 0.0461 0.3038 0.4513 1
Tb1 0.0005 0.4633 0.7388 1
Tb2 0.5406 0.5406 0.5000 1
O7 0.9539 0.6962 0.9513 1
O8 0.9289 0.0711 0.7500 1
O9 0.3309 0.0844 0.9784 1
Nb1 0.0025 0.0025 0.5000 1
Nb2 0.9975 0.9975 0.0000 1
O10 0.3601 0.6399 0.2500 1
Tb3 0.5367 0.9995 0.7612 1
O11 0.0711 0.9289 0.2500 1
O12 0.3038 0.0461 0.5487 1
Tb4 0.4633 0.0005 0.2612 1
Tb5 0.9995 0.5367 0.2388 1
Tb6 0.4594 0.4594 0.0000 1
O13 0.6399 0.3601 0.7500 1
O14 0.6288 0.3712 0.2500 1
```